First-principles (GGA-PBE) data for a relaxed TaI6 crystal, as listed in the Alexandria database.

```
TaI6
1.0
8.987 0.000 0.000
0.000 12.585 0.000
0.000 0.000 13.494
I Ta
24 4
direct
0.859 0.082 0.764
0.477 0.377 0.982
0.287 0.250 0.210
0.523 0.623 0.018
0.141 0.918 0.236
0.359 0.918 0.736
0.713 0.750 0.790
0.023 0.377 0.482
0.787 0.750 0.290
0.977 0.623 0.518
0.023 0.123 0.482
0.977 0.877 0.518
0.859 0.418 0.764
0.650 0.250 0.564
0.150 0.750 0.936
0.850 0.250 0.064
0.641 0.418 0.264
0.523 0.877 0.018
0.350 0.750 0.436
0.213 0.250 0.710
0.641 0.082 0.264
0.477 0.123 0.982
0.141 0.582 0.236
0.359 0.582 0.736
0.922 0.250 0.652
0.422 0.750 0.848
0.078 0.750 0.348
0.578 0.250 0.152
```

**Symmetry**: No. 62
**Total moment**: 0.00 μB/f.u.
**Uncorrected formation energy**: -360 meV per atom

***

First-principles (GGA-PBE) data for a relaxed LaSmCoHg crystal, as listed in the Alexandria database.

```
LaSmCoHg
1.0
-4.643 -1.963 1.362
-1.202 -4.936 -1.206
-0.307 -3.606 3.764
La Hg Sm Co
1 1 1 1
direct
0.500 0.500 0.500
0.750 0.750 0.750
0.000 0.000 0.000
0.250 0.250 0.250
```

**D(E_F)**: 0.941 states/eV/atom
**Symmetry**: No. 216
**Total moment**: 0.53 μB/f.u.
**Formation energy from the elements**: -0.140 eV/atom